# KHfAlSe4

A geometry-optimized KHfAlSe4 structure (PBE, the Alexandria database).

Cell and atoms, written as POSCAR:
```
KHfAlSe4
1.0
6.569 0.000 0.000
0.000 7.087 0.000
-0.522 0.000 8.552
K Hf Al Se
2 2 2 8
direct
0.224 0.250 0.060
0.776 0.750 0.940
0.181 0.750 0.454
0.819 0.250 0.546
0.341 0.250 0.651
0.659 0.750 0.349
0.092 0.001 0.690
0.092 0.499 0.690
0.361 0.750 0.180
0.457 0.250 0.398
0.543 0.750 0.602
0.639 0.250 0.820
0.908 0.501 0.310
0.908 0.999 0.310
```

volume = 398 Å³ per cell
total magnetic moment = 0.0 μB/f.u.
formation energy from raw total energies = -1.1404 eV/atom